*w*
A plane-wave DFT calculation with PBE was carried out for a relaxed Cs2SnAsH crystal.

```
data_Cs2SnAsH
_chemical_formula_sum 'Cs4 Sn2 As2 H2'
_cell_length_a 7.3266
_cell_length_b 4.3046
_cell_length_c 11.6395
_cell_angle_alpha 90.00
_cell_angle_beta 101.67
_cell_angle_gamma 90.00
_space_group_name_H-M_alt 'P 1 21/m 1'
_space_group_IT_number 11
_space_group_name_Hall '-P 2yb'
loop_
_atom_site_label
_atom_site_type_symbol
_atom_site_fract_x
_atom_site_fract_y
_atom_site_fract_z
Cs1 Cs 0.2053 0.2500 0.4013
Cs2 Cs 0.2791 0.7500 0.0570
Sn1 Sn 0.3129 0.7500 0.6961
As1 As 0.1695 0.2500 0.7969
H1 H 0.4469 0.2500 0.2115
```

=====

*x*
# Cs2SnAsH | the Alexandria database | PBE | relaxed
# DOS at the Fermi energy	3.6	states/eV/cell
data_Cs2SnAsH
_chemical_formula_sum 'Cs2 Sn1 As1 H1'
_cell_length_a 6.9279
_cell_length_b 6.9279
_cell_length_c 3.6052
_cell_angle_alpha 90.00
_cell_angle_beta 90.00
_cell_angle_gamma 90.00
_space_group_name_H-M_alt 'P 4/m m m'
_space_group_IT_number 123
_space_group_name_Hall '-P 4 2'
loop_
_atom_site_label
_atom_site_type_symbol
_atom_site_fract_x
_atom_site_fract_y
_atom_site_fract_z
Cs1 Cs 0.0000 0.5000 0.0000
Sn1 Sn 0.0000 0.0000 0.5000
As1 As 0.5000 0.5000 0.5000
H1 H 0.5000 0.5000 0.0000

=====

Last place for stability: *x*

=====

*w*
# CsHfAs2 | the Alexandria database | PBE | relaxed
# DOS at the Fermi energy	6.5	states/eV/cell
data_CsHfAs2
_chemical_formula_sum 'Cs4 Hf4 As8'
_cell_length_a 7.3486
_cell_length_b 7.3486
_cell_length_c 7.3486
_cell_angle_alpha 90.00
_cell_angle_beta 90.00
_cell_angle_gamma 90.00
_space_group_name_H-M_alt 'F m -3 m'
_space_group_IT_number 225
_space_group_name_Hall '-F 4 2 3'
loop_
_atom_site_label
_atom_site_type_symbol
_atom_site_fract_x
_atom_site_fract_y
_atom_site_fract_z
Cs1 Cs 0.0000 0.0000 0.0000
Hf1 Hf 0.0000 0.0000 0.5000
As1 As 0.2500 0.2500 0.2500

=====

*x*
# CsHfAs2 | the Alexandria database | PBE | relaxed
# DOS at the Fermi energy	7.1	states/eV/cell
data_CsHfAs2
_chemical_formula_sum 'Cs3 Hf3 As6'
_cell_length_a 4.0470
_cell_length_b 4.0470
_cell_length_c 24.8847
_cell_angle_alpha 90.00
_cell_angle_beta 90.00
_cell_angle_gamma 120.00
_space_group_name_H-M_alt 'R -3 m'
_space_group_IT_number 166
_space_group_name_Hall '-R 3 2"'
loop_
_atom_site_label
_atom_site_type_symbol
_atom_site_fract_x
_atom_site_fract_y
_atom_site_fract_z
Cs1 Cs 0.0000 0.0000 0.0000
Hf1 Hf 0.0000 0.0000 0.5000
As1 As 0.0000 0.0000 0.2233

=====

Last place for stability: *w*

=====

*w*
# CsHf3As | the Alexandria database | PBE | relaxed
# DOS at the Fermi energy	11.7	states/eV/cell
data_CsHf3As
_chemical_formula_sum 'Cs1 Hf3 As1'
_cell_length_a 5.2402
_cell_length_b 5.2402
_cell_length_c 5.2402
_cell_angle_alpha 90.00
_cell_angle_beta 90.00
_cell_angle_gamma 90.00
_space_group_name_H-M_alt 'P m -3 m'
_space_group_IT_number 221
_space_group_name_Hall '-P 4 2 3'
loop_
_atom_site_label
_atom_site_type_symbol
_atom_site_fract_x
_atom_site_fract_y
_atom_site_fract_z
Cs1 Cs 0.0000 0.0000 0.0000
Hf1 Hf 0.0000 0.0000 0.5000
As1 As 0.5000 0.5000 0.5000

=====

*x*
# CsHf3As | the Alexandria database | PBE | relaxed
# DOS at the Fermi energy	4.3	states/eV/cell
data_CsHf3As
_chemical_formula_sum 'Cs1 Hf3 As1'
_cell_length_a 5.1871
_cell_length_b 5.1871
_cell_length_c 5.1871
_cell_angle_alpha 90.00
_cell_angle_beta 90.00
_cell_angle_gamma 90.00
_space_group_name_H-M_alt 'P m -3 m'
_space_group_IT_number 221
_space_group_name_Hall '-P 4 2 3'
loop_
_atom_site_label
_atom_site_type_symbol
_atom_site_fract_x
_atom_site_fract_y
_atom_site_fract_z
Cs1 Cs 0.0000 0.0000 0.0000
Hf1 Hf 0.0000 0.5000 0.5000
As1 As 0.5000 0.5000 0.5000

=====

Last place for stability: *w*

=====

*w*
# Cs2HgAs2 | the Alexandria database | PBE | relaxed
# DOS at the Fermi energy	11.5	states/eV/cell
data_Cs2HgAs2
_chemical_formula_sum 'Cs4 Hg2 As4'
_cell_length_a 9.4768
_cell_length_b 9.4768
_cell_length_c 4.7931
_cell_angle_alpha 90.00
_cell_angle_beta 90.00
_cell_angle_gamma 90.00
_space_group_name_H-M_alt 'P 4/m b m'
_space_group_IT_number 127
_space_group_name_Hall '-P 4 2ab'
loop_
_atom_site_label
_atom_site_type_symbol
_atom_site_fract_x
_atom_site_fract_y
_atom_site_fract_z
Cs1 Cs 0.2000 0.3000 0.0000
Hg1 Hg 0.0000 0.0000 0.5000
As1 As 0.0855 0.5855 0.5000

=====

*x*
# Cs2HgAs2 | the Alexandria database | PBE | relaxed
# DOS at the Fermi energy	15.0	states/eV/cell
data_Cs2HgAs2
_chemical_formula_sum 'Cs8 Hg4 As8'
_cell_length_a 11.9523
_cell_length_b 5.8652
_cell_length_c 11.9707
_cell_angle_alpha 90.00
_cell_angle_beta 117.37
_cell_angle_gamma 90.00
_space_group_name_H-M_alt 'C 1 2/m 1'
_space_group_IT_number 12
_space_group_name_Hall '-C 2y'
loop_
_atom_site_label
_atom_site_type_symbol
_atom_site_fract_x
_atom_site_fract_y
_atom_site_fract_z
Cs1 Cs 0.0831 0.0000 0.3858
Cs2 Cs 0.1766 0.5000 0.1819
Hg1 Hg 0.1529 0.5000 0.8527
As1 As 0.0762 0.0000 0.9612
As2 As 0.1014 0.5000 0.5914

=====

Last place for stability: *w*

=====

*w*
# Cs2HgAs2 | the Alexandria database | PBE | relaxed
# DOS at the Fermi energy	6.6	states/eV/cell
data_Cs2HgAs2
_chemical_formula_sum 'Cs4 Hg2 As4'
_cell_length_a 3.9405
_cell_length_b 3.9405
_cell_length_c 24.1019
_cell_angle_alpha 90.00
_cell_angle_beta 90.00
_cell_angle_gamma 90.00
_space_group_name_H-M_alt 'I 4/m m m'
_space_group_IT_number 139
_space_group_name_Hall '-I 4 2'
loop_
_atom_site_label
_atom_site_type_symbol
_atom_site_fract_x
_atom_site_fract_y
_atom_site_fract_z
Cs1 Cs 0.0000 0.0000 0.1241
Hg1 Hg 0.0000 0.0000 0.5000
As1 As 0.0000 0.5000 0.2500

=====

*x*
# Cs2HgAs2 | the Alexandria database | PBE | relaxed
# DOS at the Fermi energy	10.1	states/eV/cell
data_Cs2HgAs2
_chemical_formula_sum 'Cs4 Hg2 As4'
_cell_length_a 7.0224
_cell_length_b 7.0224
_cell_length_c 9.2258
_cell_angle_alpha 90.00
_cell_angle_beta 90.00
_cell_angle_gamma 90.00
_space_group_name_H-M_alt 'I 4/m m m'
_space_group_IT_number 139
_space_group_name_Hall '-I 4 2'
loop_
_atom_site_label
_atom_site_type_symbol
_atom_site_fract_x
_atom_site_fract_y
_atom_site_fract_z
Cs1 Cs 0.0000 0.5000 0.2500
Hg1 Hg 0.0000 0.0000 0.0000
As1 As 0.0000 0.0000 0.3749

=====

Last place for stability: *w*